{"formula": "MnNO2F", "functional": "GGA+U", "state": "optimized geometry", "cell": [[-2.033, 2.886, 1.430], [-2.835, -2.406, 0.825], [1.589, -0.649, 3.567]], "species": ["N", "Mn", "O", "O", "F"], "frac_coords": [[0.500, 0.500, 0.500], [0.000, 0.000, 0.000], [0.000, 0.500, 0.000], [0.500, 0.000, 0.000], [0.000, 0.000, 0.500]], "e_tot_ev_per_atom": -5.25}